(1)
A relaxed structure of LiSbW, computed with GGA-PBE.

Unit cell a=7.2142 b=7.2142 c=7.2142 alpha=156.57 beta=156.57 gamma=33.38
Positions (direct):
Sb: 0.3179 0.3179 0.0000
W: 0.6655 0.6655 0.0000
Li: 0.0166 0.0166 0.0000

Results
Offset from the most stable computed form   194 meV per atom
Crystal system   tetragonal
Space group   I4mm
M_tot   0.000 μB/cell

---

(2)
A relaxed structure of LiSbW2, computed with GGA-PBE.

Unit cell a=2.8636 b=2.8636 c=9.2573 alpha=90.00 beta=90.00 gamma=110.79
Positions (direct):
W: 0.0000 0.0000 0.5036
W: 0.0000 0.0000 0.9964
Li: 0.5000 0.5000 0.2500
Sb: 0.5000 0.5000 0.7500

Results
E   -28.424 eV per cell
Crystal system   orthorhombic
Space group   Cmmm
M_tot   0.000 μB/cell

---

(3)
A relaxed structure of LiSbW2, computed with GGA-PBE.

Unit cell a=4.7078 b=2.8823 c=5.0939 alpha=84.42 beta=90.00 gamma=90.00
Positions (direct):
W: 0.0000 0.5395 0.4788
W: 0.0000 0.9605 0.0212
Sb: 0.5000 0.7500 0.7500
Li: 0.5000 0.2500 0.2500

Results
E   -29.910 eV per cell
Crystal system   monoclinic
Space group   P2/m
M_tot   0.000 μB/cell

---

(4)
A relaxed structure of LiSbW2, computed with GGA-PBE.

Unit cell a=9.5251 b=9.5251 c=9.5251 alpha=17.91 beta=17.91 gamma=17.91
Positions (direct):
W: 0.0022 0.0022 0.0022
W: 0.4978 0.4978 0.4978
Li: 0.2500 0.2500 0.2500
Sb: 0.7500 0.7500 0.7500

Results
E   -28.531 eV per cell
Crystal system   trigonal
Space group   R-3m
M_tot   0.000 μB/cell

---

(5)
A relaxed structure of LiSbW, computed with GGA-PBE.

Unit cell a=4.4574 b=4.4574 c=4.4574 alpha=60.00 beta=60.00 gamma=60.00
Each line ends with the local moment (μB).
Positions (direct):
Li: 0.5000 0.5000 0.5000  0.00
W: 0.0000 0.0000 0.0000  1.13
Sb: 0.7500 0.7500 0.7500  -0.03

Results
Offset from the most stable computed form   297 meV per atom
Crystal system   cubic
Space group   F-43m
M_tot   1.453 μB/cell

---

(6)
A relaxed structure of LiSbW2, computed with GGA-PBE.

Unit cell a=5.2460 b=5.2460 c=5.2460 alpha=137.01 beta=137.01 gamma=62.43
Positions (direct):
W: 0.5000 0.5000 0.0000
W: 0.0000 0.0000 0.0000
Li: 0.2500 0.7500 0.5000
Sb: 0.7500 0.2500 0.5000

Results
E   -30.136 eV per cell
Crystal system   tetragonal
Space group   I4/mmm
M_tot   0.000 μB/cell

---

(7)
A relaxed structure of LiSbW2, computed with GGA-PBE.

Unit cell a=4.7001 b=4.7001 c=5.0074 alpha=79.33 beta=79.33 gamma=39.96
Positions (direct):
W: 0.2661 0.2661 0.2277
W: 0.9879 0.9879 0.0251
Sb: 0.7455 0.7455 0.7382
Li: 0.5005 0.5005 0.5091

Results
E   -30.006 eV per cell
Crystal system   monoclinic
Space group   Cm
M_tot   0.000 μB/cell

---

(8)
A relaxed structure of LiSbW3, computed with GGA-PBE.

Unit cell a=4.3289 b=4.3289 c=4.3289 alpha=90.00 beta=90.00 gamma=90.00
Positions (direct):
W: 0.0000 0.0000 0.5000
W: 0.5000 0.0000 0.0000
W: 0.0000 0.5000 0.0000
Li: 0.0000 0.0000 0.0000
Sb: 0.5000 0.5000 0.5000

Results
Offset from the most stable computed form   0 meV per atom
Crystal system   cubic
Space group   Pm-3m
M_tot   0.000 μB/cell

---

(9)
A relaxed structure of LiSbW2, computed with GGA-PBE.

Unit cell a=2.8004 b=4.5050 c=5.4186 alpha=90.00 beta=90.00 gamma=90.00
Positions (direct):
Sb: 0.5000 0.5000 0.7500
W: 0.0000 0.0000 0.0130
W: 0.0000 0.0000 0.4870
Li: 0.5000 0.5000 0.2500

Results
E   -29.068 eV per cell
Crystal system   orthorhombic
Space group   Pmmm
M_tot   0.000 μB/cell

---

(10)
A relaxed structure of LiSbW2, computed with GGA-PBE.

Unit cell a=3.3416 b=3.3416 c=5.9420 alpha=90.00 beta=90.00 gamma=90.00
Positions (direct):
Li: 0.0000 0.0000 0.4934
W: 0.0000 0.0000 0.0237
W: 0.5000 0.5000 0.2459
Sb: 0.5000 0.5000 0.7370

Results
E   -30.920 eV per cell
Crystal system   tetragonal
Space group   P4mm
M_tot   0.000 μB/cell

---

(11)
A relaxed structure of Li2YSb2, computed with GGA-PBE.

Unit cell a=4.1759 b=4.1759 c=7.2505 alpha=73.26 beta=73.26 gamma=90.00
Positions (direct):
Sb: 0.3855 0.3855 0.2290
Sb: 0.6145 0.6145 0.7710
Li: 0.2500 0.7500 0.5000
Li: 0.7500 0.2500 0.5000
Y: 0.0000 0.0000 0.0000

Results
Offset from the most stable computed form   0 meV per atom
Crystal system   tetragonal
Space group   I4/mmm
M_tot   0.000 μB/cell

---

(12)
A relaxed structure of LiYSb, computed with GGA-PBE.

Unit cell a=5.8756 b=5.6868 c=3.8677 alpha=73.12 beta=67.84 gamma=39.04
Positions (direct):
Sb: 0.3506 0.3506 0.6494
Li: 0.9736 0.9736 0.0264
Y: 0.6759 0.6759 0.3241

Results
Offset from the most stable computed form   386 meV per atom
Crystal system   orthorhombic
Space group   Fmm2
M_tot   0.000 μB/cell

---

(13)
A relaxed structure of LiYSb, computed with GGA-PBE.

Unit cell a=4.4271 b=4.4271 c=4.1085 alpha=90.00 beta=90.00 gamma=120.00
Positions (direct):
Sb: 0.6667 0.3333 0.1667
Y: 0.3333 0.6667 0.6668
Li: 0.0000 0.0000 0.1666

Results
Offset from the most stable computed form   34 meV per atom
Crystal system   hexagonal
Space group   P-6m2
M_tot   0.000 μB/cell

---

(14)
A relaxed structure of LiYSb, computed with GGA-PBE.

Unit cell a=5.8576 b=5.8576 c=5.8576 alpha=146.20 beta=138.85 gamma=54.27
Each line ends with the local moment (μB).
Positions (direct):
Sb: 0.3538 0.3538 0.0000  0.00
Li: 0.9721 0.9721 0.0000  0.01
Y: 0.6741 0.6741 0.0000  0.11

Results
Offset from the most stable computed form   366 meV per atom
Crystal system   orthorhombic
Space group   Imm2
M_tot   0.230 μB/cell

---

(15)
A relaxed structure of LiYSb4, computed with GGA-PBE.

Unit cell a=6.2500 b=6.2500 c=6.2500 alpha=60.00 beta=60.00 gamma=60.00
Positions (direct):
Sb: 0.3744 0.8768 0.3744
Sb: 0.3744 0.3744 0.3744
Sb: 0.8768 0.3744 0.3744
Sb: 0.3744 0.3744 0.8768
Li: 0.0000 0.0000 0.0000
Y: 0.7500 0.7500 0.7500

Results
E   -25.159 eV per cell
Crystal system   cubic
Space group   F-43m
M_tot   0.002 μB/cell

---

(16)
A relaxed structure of Li3YSb, computed with GGA-PBE.

Unit cell a=4.9691 b=4.9691 c=4.9691 alpha=90.00 beta=90.00 gamma=90.00
Positions (direct):
Li: 0.5000 0.0000 0.0000
Li: 0.0000 0.5000 0.0000
Li: 0.0000 0.0000 0.5000
Y: 0.5000 0.5000 0.5000
Sb: 0.0000 0.0000 0.0000

Results
Offset from the most stable computed form   0 meV per atom
Crystal system   cubic
Space group   Pm-3m
M_tot   0.000 μB/cell

---

(17)
A relaxed structure of Li2YSb2, computed with GGA-PBE.

Unit cell a=8.1807 b=8.1807 c=3.2869 alpha=90.00 beta=90.00 gamma=90.00
Positions (direct):
Li: 0.1107 0.3893 0.0000
Li: 0.6107 0.1107 0.0000
Li: 0.3893 0.8893 0.0000
Li: 0.8893 0.6107 0.0000
Y: 0.0000 0.0000 0.0000
Y: 0.5000 0.5000 0.0000
Sb: 0.8158 0.3158 0.5000
Sb: 0.6842 0.8158 0.5000
Sb: 0.1842 0.6842 0.5000
Sb: 0.3158 0.1842 0.5000

Results
Offset from the most stable computed form   37 meV per atom
Crystal system   tetragonal
Space group   P4/mbm
M_tot   0.000 μB/cell

---

(18)
A relaxed structure of LiYSb, computed with GGA-PBE.

Unit cell a=4.9091 b=4.9091 c=4.9091 alpha=60.00 beta=60.00 gamma=60.00
Positions (direct):
Li: 0.5000 0.5000 0.5000
Y: 0.0000 0.0000 0.0000
Sb: 0.7500 0.7500 0.7500

Results
Offset from the most stable computed form   185 meV per atom
Crystal system   cubic
Space group   F-43m
M_tot   0.000 μB/cell

---

(19)
A relaxed structure of LiYSb3, computed with GGA-PBE.

Unit cell a=6.2864 b=6.0293 c=13.4771 alpha=90.00 beta=90.00 gamma=90.00
Positions (direct):
Sb: 0.0000 0.7500 0.5042
Sb: 0.2500 0.7081 0.0825
Sb: 0.2500 0.0023 0.2543
Sb: 0.2500 0.2081 0.9175
Sb: 0.7500 0.2919 0.9175
Sb: 0.7500 0.4977 0.2543
Sb: 0.5000 0.2500 0.4958
Sb: 0.5000 0.7500 0.5042
Sb: 0.7500 0.9977 0.7457
Sb: 0.7500 0.7919 0.0825
Sb: 0.0000 0.2500 0.4958
Sb: 0.2500 0.5023 0.7457
Li: 0.0000 0.7500 0.8923
Li: 0.5000 0.7500 0.8923
Li: 0.0000 0.2500 0.1077
Li: 0.5000 0.2500 0.1077
Y: 0.7500 0.4886 0.6821
Y: 0.2500 0.5114 0.3179
Y: 0.2500 0.0114 0.6821
Y: 0.7500 0.9886 0.3179

Results
Offset from the most stable computed form   0 meV per atom
Crystal system   orthorhombic
Space group   Pbcm
M_tot   0.000 μB/cell

---

(20)
A relaxed structure of LiY3Sb, computed with GGA-PBE.

Unit cell a=5.1732 b=5.1732 c=5.1732 alpha=90.00 beta=90.00 gamma=90.00
Each line ends with the local moment (μB).
Positions (direct):
Li: 0.0000 0.0000 0.0000  0.05
Y: 0.0000 0.0000 0.5000  0.10
Y: 0.5000 0.0000 0.0000  0.12
Y: 0.0000 0.5000 0.0000  0.10
Sb: 0.5000 0.5000 0.5000  0.00

Results
Offset from the most stable computed form   0 meV per atom
Crystal system   cubic
Space group   Pm-3m
M_tot   0.681 μB/cell

---

(21)
A relaxed structure of LiYSb, computed with GGA-PBE.

Unit cell a=4.4201 b=7.3748 c=12.8807 alpha=89.31 beta=90.00 gamma=90.00
Positions (direct):
Y: 0.7500 0.6560 0.0755
Y: 0.2500 0.9826 0.6935
Y: 0.2500 0.4857 0.6242
Y: 0.7500 0.0174 0.3065
Y: 0.7500 0.5143 0.3758
Y: 0.2500 0.3440 0.9245
Li: 0.7500 0.6449 0.8047
Li: 0.2500 0.8315 0.4512
Li: 0.2500 0.3551 0.1953
Li: 0.7500 0.1685 0.5488
Li: 0.7500 0.0048 0.9051
Li: 0.2500 0.9952 0.0949
Sb: 0.7500 0.7723 0.5687
Sb: 0.7500 0.2733 0.7544
Sb: 0.7500 0.2247 0.0911
Sb: 0.2500 0.7267 0.2456
Sb: 0.2500 0.2277 0.4313
Sb: 0.2500 0.7753 0.9089

Results
Offset from the most stable computed form   0 meV per atom
Crystal system   monoclinic
Space group   P2_1/m
M_tot   0.220 μB/cell

---

(22)
A relaxed structure of LiYSb3, computed with GGA-PBE.

Unit cell a=5.0621 b=5.0621 c=5.0621 alpha=90.00 beta=90.00 gamma=90.00
Positions (direct):
Li: 0.0000 0.0000 0.0000
Sb: 0.5000 0.0000 0.0000
Sb: 0.0000 0.0000 0.5000
Sb: 0.0000 0.5000 0.0000
Y: 0.5000 0.5000 0.5000

Results
Offset from the most stable computed form   513 meV per atom
Crystal system   cubic
Space group   Pm-3m
M_tot   0.000 μB/cell

---

(23)
A relaxed structure of Li4YSb2, computed with GGA-PBE.

Unit cell a=4.5443 b=4.5443 c=8.4747 alpha=74.45 beta=74.45 gamma=60.00
Positions (direct):
Li: 0.4281 0.4281 0.7156
Li: 0.1387 0.1387 0.5838
Li: 0.5719 0.5719 0.2844
Li: 0.8613 0.8613 0.4162
Sb: 0.2561 0.2561 0.2317
Sb: 0.7439 0.7439 0.7683
Y: 0.0000 0.0000 0.0000

Results
E   -27.395 eV per cell
Crystal system   trigonal
Space group   R-3m
M_tot   0.000 μB/cell

---

(24)
A relaxed structure of Li2YSb2, computed with GGA-PBE.

Unit cell a=8.4154 b=8.4154 c=3.3616 alpha=90.00 beta=90.00 gamma=90.00
Positions (direct):
Y: 0.5000 0.5000 0.0000
Y: 0.0000 0.0000 0.0000
Sb: 0.6717 0.1717 0.0000
Sb: 0.8283 0.6717 0.0000
Sb: 0.3283 0.8283 0.0000
Sb: 0.1717 0.3283 0.0000
Li: 0.8754 0.3754 0.5000
Li: 0.6246 0.8754 0.5000
Li: 0.3754 0.1246 0.5000
Li: 0.1246 0.6246 0.5000

Results
Offset from the most stable computed form   98 meV per atom
Crystal system   tetragonal
Space group   P4/mbm
M_tot   0.000 μB/cell

---

(25)
A relaxed structure of Li5Y2Sb4, computed with GGA-PBE.

Unit cell a=8.4001 b=8.4001 c=7.8431 alpha=62.76 beta=62.76 gamma=31.00
Positions (direct):
Y: 0.4968 0.4968 0.5016
Y: 0.9992 0.9992 0.9988
Li: 0.6692 0.6692 0.9953
Li: 0.2586 0.2586 0.7747
Li: 0.7603 0.7603 0.2178
Li: 0.1769 0.1769 0.4920
Li: 0.8250 0.8250 0.5073
Sb: 0.8726 0.8726 0.7979
Sb: 0.6222 0.6222 0.7096
Sb: 0.3744 0.3744 0.2815
Sb: 0.1216 0.1216 0.2136

Results
E   -47.605 eV per cell
Crystal system   monoclinic
Space group   Cm
M_tot   0.000 μB/cell

---

(26)
A relaxed structure of Li3YSb, computed with GGA-PBE.

Unit cell a=5.3127 b=5.3127 c=5.3127 alpha=90.00 beta=90.00 gamma=90.00
Each line ends with the local moment (μB).
Positions (direct):
Li: 0.5000 0.0000 0.0000  0.05
Li: 0.0000 0.5000 0.0000  0.04
Li: 0.0000 0.0000 0.5000  0.04
Y: 0.0000 0.0000 0.0000  0.92
Sb: 0.5000 0.5000 0.5000  -0.05

Results
Offset from the most stable computed form   941 meV per atom
Crystal system   cubic
Space group   Pm-3m
M_tot   1.775 μB/cell

---

(27)
A relaxed structure of LiYSb3, computed with GGA-PBE.

Unit cell a=5.8008 b=5.8008 c=5.8008 alpha=90.00 beta=90.00 gamma=90.00
Positions (direct):
Sb: 0.5000 0.0000 0.0000
Sb: 0.0000 0.0000 0.5000
Sb: 0.0000 0.5000 0.0000
Y: 0.0000 0.0000 0.0000
Li: 0.5000 0.5000 0.5000

Results
Offset from the most stable computed form   742 meV per atom
Crystal system   cubic
Space group   Pm-3m
M_tot   0.000 μB/cell